A geometry-optimized BaCrCO5 structure, computed with PBE+U.

Its total DFT energy (no corrections) is -7.04 eV/atom. The crystal system is monoclinic. As for the calculated volume: 12.56 A^3/atom.

It has space group C2/c (No. 15), with a = 6.863 Å, b = 9.080 Å, c = 6.914 Å, α = 90.00°, β = 111.08° and γ = 90.00°. Symmetry generates all atoms from Ba at (0.000, 0.150, 0.250), Cr at (0.000, 0.500, 0.000), C at (0.000, 0.213, 0.750), O at (0.000, 0.435, 0.250), O at (0.088, 0.300, 0.632) and O at (0.151, 0.119, 0.889).